YMoCl2 at its PBEsol-relaxed geometry. Source: Alexandria, functional SCAN.

The structure belongs to space group Cmmm (No. 65); the cell edges are 3.077, 5.792 and 8.466 Å and the angles 90.00°, 90.00° and 90.00°. Symmetry generates all atoms from Y at (0.000, 0.000, 0.000), Mo at (0.000, 0.000, 0.500) and Cl at (0.000, 0.500, 0.274).

The total magnetization comes out at 0.000 μB per formula unit. As for the formation energy from raw total energies: -214 meV per atom. Its distance to the lowest polymorph of the same formula is 1.89 eV/f.u.

La2ZnRu at its PBEsol-relaxed geometry. Source: Alexandria, functional SCAN.

The structure belongs to space group P4/mmm (No. 123); the cell edges are 3.527, 3.527 and 7.482 Å and the angles 90.00°, 90.00° and 90.00°. Symmetry generates all atoms from La at (0.000, 0.000, 0.230), Zn at (0.500, 0.500, 0.500) and Ru at (0.500, 0.500, 0.000).

The total magnetization comes out at 0.000 μB per formula unit. Its calculated formation energy is -0.2698 eV/atom.

Hg2RhAu at its PBEsol-relaxed geometry. Source: Alexandria, functional SCAN.

The structure belongs to space group R-3m (No. 166, hexagonal axes); the cell edges are 2.9968, 2.9968 and 27.2776 Å and the angles 90.00°, 90.00° and 120.00°. Symmetry generates all atoms from Hg at (0.0000, 0.0000, 0.2465), Rh at (0.0000, 0.0000, 0.5000) and Au at (0.0000, 0.0000, 0.0000).

The total magnetization comes out at 0.000 μB per formula unit. Its calculated formation energy is 0.1959 eV/atom.

OsCN2 at its PBEsol-relaxed geometry. Source: Alexandria, functional SCAN.

The structure belongs to space group R-3m (No. 166, hexagonal axes); the cell edges are 2.5697, 2.5697 and 17.2118 Å and the angles 90.00°, 90.00° and 120.00°. Symmetry generates all atoms from Os at (0.0000, 0.0000, 0.0000), C at (0.0000, 0.0000, 0.5000) and N at (0.0000, 0.0000, 0.1143).

The total magnetization comes out at 0.000 μB per formula unit. As for the formation energy from raw total energies: 1526 meV per atom.

CeYFe17 at its PBEsol-relaxed geometry. Source: Alexandria, functional SCAN.

The structure belongs to space group P6_3/mmc (No. 194); the cell edges are 8.1777, 8.1777 and 8.0532 Å and the angles 90.00°, 90.00° and 120.00°. Symmetry generates all atoms from Ce at (0.3333, 0.6667, 0.2500), Y at (0.0000, 0.0000, 0.2500), Fe at (0.0000, 0.5000, 0.0000), Fe at (0.0419, 0.3713, 0.7500), Fe at (0.1647, 0.3294, 0.0101) and Fe at (0.3333, 0.6667, 0.6076).

The total magnetization comes out at 40.499 μB per formula unit. Its calculated formation energy is 0.0568 eV/atom. Its distance to the lowest polymorph of the same formula is 0.12 eV/f.u.

SbMoBr3 at its PBEsol-relaxed geometry. Source: Alexandria, functional SCAN.

The structure belongs to space group Pm-3m (No. 221); the cell edges are 5.545, 5.545 and 5.545 Å and the angles 90.00°, 90.00° and 90.00°. Symmetry generates all atoms from Sb at (0.000, 0.000, 0.000), Mo at (0.500, 0.500, 0.500) and Br at (0.000, 0.000, 0.500).

The total magnetization comes out at 5.411 μB per formula unit. As for the formation energy from raw total energies: 566 meV per atom.